1.
The following is a DFT calculation (GGA-PBE) of ScRe2Si3 after structural relaxation.

Cell: 9.9628 7.7478 12.0702 Å, 55.31 39.75 84.95°
Positions (direct):
Sc 0.0414 0.9586 0.6905
Sc 0.3095 0.6905 0.9586
Sc 0.6905 0.3095 0.0414
Sc 0.9586 0.0414 0.3095
Re 0.1794 0.8080 0.4163
Re 0.4037 0.5837 0.1920
Re 0.4576 0.9947 0.5424
Re 0.5837 0.4037 0.8206
Re 0.6698 0.8433 0.1567
Re 0.8080 0.1794 0.5963
Re 0.8433 0.6698 0.3302
Re 0.9947 0.4576 0.0053
Si 0.0279 0.8073 0.9721
Si 0.0685 0.6489 0.3511
Si 0.1381 0.3761 0.6239
Si 0.2444 0.2444 0.2556
Si 0.2865 0.7228 0.5645
Si 0.3761 0.1381 0.8619
Si 0.4355 0.5739 0.7135
Si 0.5739 0.4355 0.2772
Si 0.6489 0.0685 0.9315
Si 0.7228 0.2865 0.4261
Si 0.7444 0.7444 0.7556
Si 0.8073 0.0279 0.1927

Calculated values
**Formation energy (no corrections)**: -0.538 eV/atom
**Symmetry**: Fmm2
**Size of the total moment**: 0.000 μB per atom
**Total energy**: -202.900 eV per cell

2.
The following is a DFT calculation (GGA-PBE) of Na2NdSn3Te6 after structural relaxation.

Cell: 7.7544 7.7544 8.0009 Å, 99.29 99.29 120.00°
Positions (direct):
Na 0.1678 0.8322 0.0000
Na 0.8322 0.1678 0.0000
Nd 0.5000 0.5000 0.0000
Sn 0.0000 0.0000 0.5000
Sn 0.3365 0.6635 0.5000
Sn 0.6635 0.3365 0.5000
Te 0.0901 0.4144 0.7464
Te 0.2609 0.2609 0.2597
Te 0.4144 0.0901 0.7464
Te 0.5856 0.9099 0.2536
Te 0.7391 0.7391 0.7403
Te 0.9099 0.5856 0.2536

Calculated values
**Formation energy (no corrections)**: -0.674 eV/atom
**Symmetry**: C2/m
**Size of the total moment**: 0.000 μB per atom
**Total energy**: -46.351 eV per cell

3.
The following is a DFT calculation (GGA-PBE) of Zr3Zn4 after structural relaxation.

Cell: 4.4868 4.4868 7.8673 Å, 106.55 106.55 59.91°
Positions (direct):
Zr 0.0000 0.0000 0.0000
Zr 0.4294 0.4294 0.2881
Zr 0.5706 0.5706 0.7119
Zn 0.1584 0.1584 0.4751
Zn 0.2914 0.2914 0.8742
Zn 0.7086 0.7086 0.1258
Zn 0.8416 0.8416 0.5249

Calculated values
**Symmetry**: C2/m
**Size of the total moment**: 0.000 μB per atom
**Total energy**: -32.002 eV per cell

4.
The following is a DFT calculation (GGA-PBE) of Tb2BeRu2 after structural relaxation.

Cell: 5.9228 5.9228 6.7746 Å, 102.70 102.70 54.50°
Positions (direct):
Tb 0.0150 0.2760 0.1422
Tb 0.2760 0.0150 0.6422
Tb 0.7240 0.9850 0.3578
Tb 0.9850 0.7240 0.8578
Be 0.3932 0.6068 0.2500
Be 0.6068 0.3932 0.7500
Ru 0.2442 0.5014 0.4831
Ru 0.4986 0.7558 0.0169
Ru 0.5014 0.2442 0.9831
Ru 0.7558 0.4986 0.5169

Calculated values
**Symmetry**: C2/c
**Size of the total moment**: 0.000 μB per atom
**Total energy**: -65.873 eV per cell

5.
The following is a DFT calculation (GGA-PBE) of As3Ru after structural relaxation.

Cell: 8.7847 8.7847 8.7847 Å, 20.12 20.12 20.12°
Positions (direct):
As 0.0000 0.0000 0.0000
As 0.2380 0.2380 0.2380
As 0.7620 0.7620 0.7620
Ru 0.5000 0.5000 0.5000

Calculated values
**Symmetry**: R-3m
**Size of the total moment**: 0.000 μB per atom
**Total energy**: -22.768 eV per cell

6.
The following is a DFT calculation (GGA-PBE) of Rb3TlCd2F9 after structural relaxation.

Cell: 6.4701 6.4701 7.9492 Å, 90.00 90.00 120.00°
Positions (direct):
Rb 0.0000 0.0000 0.0000
Rb 0.3333 0.6667 0.6677
Rb 0.6667 0.3333 0.3323
Tl 0.0000 0.0000 0.5000
Cd 0.3333 0.6667 0.1588
Cd 0.6667 0.3333 0.8412
F 0.0000 0.5000 0.0000
F 0.1718 0.3436 0.3261
F 0.1718 0.8282 0.3261
F 0.3436 0.1718 0.6739
F 0.5000 0.0000 0.0000
F 0.5000 0.5000 0.0000
F 0.6564 0.8282 0.3261
F 0.8282 0.1718 0.6739
F 0.8282 0.6564 0.6739

Calculated values
**Formation energy (no corrections)**: -2.344 eV/atom
**Symmetry**: P-3m1
**Size of the total moment**: 0.000 μB per atom
**Total energy**: -59.095 eV per cell

7.
The following is a DFT calculation (GGA-PBE) of Sm3YEr3 after structural relaxation.

Cell: 9.5923 9.5923 5.7080 Å, 90.00 90.00 120.00°
Positions (direct):
Sm 0.0465 0.8054 0.2500
Sm 0.1946 0.2411 0.2500
Sm 0.2411 0.0465 0.7500
Sm 0.7589 0.9535 0.2500
Sm 0.8054 0.7589 0.7500
Sm 0.9535 0.1946 0.7500
Y 0.3333 0.6667 0.2500
Y 0.6667 0.3333 0.7500
Er 0.0945 0.6175 0.7500
Er 0.3825 0.4769 0.7500
Er 0.4769 0.0945 0.2500
Er 0.5231 0.9055 0.7500
Er 0.6175 0.5231 0.2500
Er 0.9055 0.3825 0.2500

Calculated values
**Symmetry**: P6_3/m
**Size of the total moment**: 0.000 μB per atom
**Total energy**: -68.415 eV per cell

8.
The following is a DFT calculation (GGA-PBE) of Sm2EuTm after structural relaxation.

Cell: 3.6354 3.6354 10.3569 Å, 90.00 90.00 90.00°
Positions (direct):
Sm 0.0000 0.0000 0.2335
Sm 0.0000 0.0000 0.7665
Eu 0.5000 0.5000 0.5000
Tm 0.5000 0.5000 0.0000

Calculated values
**Symmetry**: P4/mmm
**Size of the total moment**: 1.823 μB per atom
**Total energy**: -24.004 eV per cell

9.
The following is a DFT calculation (GGA-PBE) of Na2MgTl after structural relaxation.

Cell: 3.5865 5.6350 5.4876 Å, 90.00 90.02 90.00°
Positions (direct):
Na 0.0000 0.0000 0.0000
Na 0.5002 0.0000 0.4955
Mg 0.4986 0.5000 0.8928
Tl 0.0001 0.5000 0.3940

Calculated values
**Symmetry**: Pm
**Size of the total moment**: 0.000 μB per atom
**Total energy**: -6.639 eV per cell

10.
The following is a DFT calculation (GGA-PBE) of Sr2IrF after structural relaxation.

Cell: 7.5523 7.5523 7.5523 Å, 131.90 131.90 70.39°
Positions (direct):
Sr 0.0836 0.6250 0.9586
Sr 0.3750 0.3336 0.4586
Sr 0.6664 0.1250 0.0414
Sr 0.8750 0.9164 0.5414
Ir 0.2500 0.7500 0.5000
Ir 0.5000 0.5000 0.0000
F 0.0000 0.0000 0.0000
F 0.7500 0.2500 0.5000

Calculated values
**Formation energy (no corrections)**: -1.145 eV/atom
**Symmetry**: I-42d
**Size of the total moment**: 0.000 μB per atom
**Total energy**: -37.351 eV per cell

11.
The following is a DFT calculation (GGA-PBE) of Ta2ZnP after structural relaxation.

Cell: 9.6912 9.6912 9.6912 Å, 156.94 156.94 32.84°
Positions (direct):
Ta 0.1209 0.6250 0.9959
Ta 0.3750 0.3709 0.4959
Ta 0.6291 0.1250 0.0041
Ta 0.8750 0.8791 0.5041
Zn 0.2500 0.7500 0.5000
Zn 0.5000 0.5000 0.0000
P 0.0000 0.0000 0.0000
P 0.7500 0.2500 0.5000

Calculated values
**Symmetry**: I-42d
**Size of the total moment**: 0.000 μB per atom
**Total energy**: -58.202 eV per cell

12.
The following is a DFT calculation (GGA-PBE) of CeThRhAu after structural relaxation.

Cell: 4.3667 6.0568 6.0568 Å, 38.08 90.00 90.00°
Positions (direct):
Ce 0.0000 0.0000 0.0000
Th 0.5000 0.7202 0.7202
Rh 0.0000 0.2502 0.2502
Au 0.5000 0.4385 0.4385

Calculated values
**Symmetry**: Amm2
**Size of the total moment**: 0.204 μB per atom
**Total energy**: -26.925 eV per cell

- Among the records above, which one has the highest total energy?
  Na2MgTl